No. 1
Computed, not measured: a relaxed LiY2TiAs crystal at the PBE level of DFT.

Computed properties:
energy relative to the elements = 124 kJ/mol of formula units
volume = 23.3 Å³ per atom

Lattice parameters (Å, degrees): 5.2352 5.2352 4.2488 90.00 90.00 90.00
Space group P4/mmm (No. 123)
Symmetry-distinct sites (fractional):
1 Li 0.0000 0.0000 0.0000 [1 per cell]
2 Y 0.0000 0.5000 0.0000 [2 per cell]
3 Ti 0.5000 0.5000 0.5000 [1 per cell]
4 As 0.0000 0.0000 0.5000 [1 per cell]

=====

No. 2
Computed, not measured: a relaxed MnTlOs2 crystal at the PBE level of DFT.

Computed properties:
energy relative to the elements = 228 kJ/mol of formula units
volume = 16.1 Å³ per atom
polymorph energy (0 for the lowest one) = 106.7 meV per atom

Lattice parameters (Å, degrees): 9.0138 2.8848 5.0485 90.00 101.64 90.00
Space group C2/m (No. 12)
Symmetry-distinct sites (fractional):
1 Mn 0.0000 0.0000 0.0000 [2 per cell]
2 Tl 0.0000 0.5000 0.5000 [2 per cell]
3 Os 0.2319 0.5000 0.2055 [4 per cell]

=====

No. 3
Computed, not measured: a relaxed ZrIr2IO crystal at the PBE level of DFT.

Computed properties:
volume = 19.3 Å³ per atom
raw formation energy = 0.78 eV/atom

Lattice parameters (Å, degrees): 4.9788 4.9788 3.8973 90.00 90.00 90.00
Space group P4/mmm (No. 123)
Symmetry-distinct sites (fractional):
1 Zr 0.0000 0.0000 0.0000 [1 per cell]
2 Ir 0.0000 0.5000 0.5000 [2 per cell]
3 I 0.5000 0.5000 0.5000 [1 per cell]
4 O 0.5000 0.5000 0.0000 [1 per cell]

=====

No. 4
Computed, not measured: a relaxed Ca2Al4Zn3Au crystal at the PBE level of DFT.

Computed properties:
energy relative to the elements = -319 kJ/mol of formula units
volume = 19.9 Å³ per atom

Lattice parameters (Å, degrees): 4.2381 4.2381 11.0776 90.00 90.00 90.00
Space group P-4m2 (No. 115)
Symmetry-distinct sites (fractional):
1 Ca 0.0000 0.5000 0.2485 [2 per cell]
2 Al 0.0000 0.0000 0.5000 [1 per cell]
3 Al 0.0000 0.5000 0.8665 [2 per cell]
4 Al 0.5000 0.5000 0.5000 [1 per cell]
5 Zn 0.0000 0.0000 0.0000 [1 per cell]
6 Zn 0.0000 0.5000 0.6392 [2 per cell]
7 Au 0.5000 0.5000 0.0000 [1 per cell]

=====

No. 5
Computed, not measured: a relaxed CaTe5Pb4 crystal at the PBE level of DFT.

Computed properties:
volume = 34.8 Å³ per atom
raw formation energy = -0.65 eV/atom

Lattice parameters (Å, degrees): 4.6150 4.6150 32.6705 90.00 90.00 90.00
Space group I4/mmm (No. 139)
Symmetry-distinct sites (fractional):
1 Ca 0.0000 0.0000 0.0000 [2 per cell]
2 Te 0.0000 0.0000 0.0985 [4 per cell]
3 Te 0.0000 0.0000 0.3000 [4 per cell]
4 Te 0.0000 0.0000 0.5000 [2 per cell]
5 Pb 0.0000 0.0000 0.1997 [4 per cell]
6 Pb 0.0000 0.0000 0.4006 [4 per cell]

=====

No. 6
Computed, not measured: a relaxed ReRu2AuS crystal at the PBE level of DFT.

Computed properties:
volume = 20.2 Å³ per atom
raw formation energy = 1.31 eV/atom

Lattice parameters (Å, degrees): 4.7914 4.7914 4.4031 90.00 90.00 90.00
Space group P4/mmm (No. 123)
Symmetry-distinct sites (fractional):
1 Re 0.0000 0.0000 0.0000 [1 per cell]
2 Ru 0.0000 0.5000 0.0000 [2 per cell]
3 Au 0.5000 0.5000 0.5000 [1 per cell]
4 S 0.0000 0.0000 0.5000 [1 per cell]

=====

No. 7
Computed, not measured: a relaxed NaAcNd crystal at the PBE level of DFT.

Computed properties:
energy relative to the elements = 18 kJ/mol of formula units
volume = 40.1 Å³ per atom
polymorph energy (0 for the lowest one) = 0.0 meV per atom

Lattice parameters (Å, degrees): 6.6657 3.8441 18.9254 90.00 97.05 90.00
Space group C2/m (No. 12)
Symmetry-distinct sites (fractional):
1 Na 0.1902 0.0000 0.0833 [4 per cell]
2 Ac 0.0813 0.5000 0.2583 [4 per cell]
3 Nd 0.1945 0.5000 0.5790 [4 per cell]

=====

No. 8
Computed, not measured: a relaxed La3CePPb2 crystal at the PBE level of DFT.

Computed properties:
energy relative to the elements = -462 kJ/mol of formula units
volume = 35.2 Å³ per atom

Lattice parameters (Å, degrees): 5.3454 5.4427 16.9268 90.00 90.00 90.00
Space group Immm (No. 71)
Symmetry-distinct sites (fractional):
1 La 0.0000 0.0000 0.0000 [2 per cell]
2 La 0.0000 0.5000 0.1707 [4 per cell]
3 Ce 0.0000 0.0000 0.5000 [2 per cell]
4 P 0.0000 0.5000 0.0000 [2 per cell]
5 Pb 0.0000 0.5000 0.3672 [4 per cell]

=====

No. 9
Computed, not measured: a relaxed CsLiSnAs2 crystal at the PBE level of DFT.

Computed properties:
energy relative to the elements = -218 kJ/mol of formula units
volume = 32.0 Å³ per atom

Lattice parameters (Å, degrees): 14.1209 4.3602 10.5259 90.00 99.18 90.00
Space group C2/m (No. 12)
Symmetry-distinct sites (fractional):
1 Cs 0.1472 0.0000 0.1643 [4 per cell]
2 Li 0.1820 0.0000 0.5615 [4 per cell]
3 Sn 0.0563 0.5000 0.6617 [4 per cell]
4 As 0.1231 0.0000 0.8013 [4 per cell]
5 As 0.1284 0.5000 0.4399 [4 per cell]

=====

No. 10
Computed, not measured: a relaxed Be2AlInAu crystal at the PBE level of DFT.

Computed properties:
energy relative to the elements = 322 kJ/mol of formula units
volume = 20.0 Å³ per atom

Lattice parameters (Å, degrees): 4.4255 4.4255 5.1064 90.00 90.00 90.00
Space group P4/mmm (No. 123)
Symmetry-distinct sites (fractional):
1 Be 0.0000 0.5000 0.0000 [2 per cell]
2 Al 0.0000 0.0000 0.0000 [1 per cell]
3 In 0.5000 0.5000 0.5000 [1 per cell]
4 Au 0.0000 0.0000 0.5000 [1 per cell]

=====

No. 11
Computed, not measured: a relaxed LaCuBiCl2 crystal at the PBE level of DFT.

Computed properties:
volume = 39.4 Å³ per atom
raw formation energy = -0.60 eV/atom

Lattice parameters (Å, degrees): 5.3401 5.3401 6.9002 90.00 90.00 90.00
Space group P4/mmm (No. 123)
Symmetry-distinct sites (fractional):
1 La 0.0000 0.0000 0.0000 [1 per cell]
2 Cu 0.5000 0.5000 0.5000 [1 per cell]
3 Bi 0.0000 0.0000 0.5000 [1 per cell]
4 Cl 0.0000 0.5000 0.0000 [2 per cell]

=====

No. 12
Computed, not measured: a relaxed GeBI2O crystal at the PBE level of DFT.

Computed properties:
volume = 24.4 Å³ per atom
polymorph energy (0 for the lowest one) = 0.0 meV per atom
raw formation energy = 0.16 eV/atom

Lattice parameters (Å, degrees): 6.5477 6.5477 2.8439 90.00 90.00 90.00
Space group P4/mmm (No. 123)
Symmetry-distinct sites (fractional):
1 Ge 0.0000 0.0000 0.0000 [1 per cell]
2 B 0.5000 0.5000 0.5000 [1 per cell]
3 I 0.0000 0.5000 0.5000 [2 per cell]
4 O 0.5000 0.5000 0.0000 [1 per cell]

=====

No. 13
Computed, not measured: a relaxed Hf2ThCo crystal at the PBE level of DFT.

Computed properties:
energy relative to the elements = 124 kJ/mol of formula units
volume = 20.2 Å³ per atom
polymorph energy (0 for the lowest one) = 495.9 meV per atom

Lattice parameters (Å, degrees): 6.8617 6.8617 6.8617 90.00 90.00 90.00
Space group Fm-3m (No. 225)
Symmetry-distinct sites (fractional):
1 Hf 0.2500 0.2500 0.2500 [8 per cell]
2 Th 0.0000 0.0000 0.0000 [4 per cell]
3 Co 0.0000 0.0000 0.5000 [4 per cell]

=====

No. 14
Computed, not measured: a relaxed Sr3Al2Au3 crystal at the PBE level of DFT.

Computed properties:
energy relative to the elements = -499 kJ/mol of formula units
volume = 26.3 Å³ per atom

Lattice parameters (Å, degrees): 4.5092 12.1253 15.3743 90.00 90.00 90.00
Space group Cmcm (No. 63)
Symmetry-distinct sites (fractional):
1 Sr 0.0000 0.0750 0.1089 [8 per cell]
2 Sr 0.0000 0.3658 0.2500 [4 per cell]
3 Al 0.0000 0.2187 0.5850 [8 per cell]
4 Au 0.0000 0.3180 0.7500 [4 per cell]
5 Au 0.0000 0.3768 0.0420 [8 per cell]

=====

No. 15
Computed, not measured: a relaxed ErICl crystal at the PBE level of DFT.

Computed properties:
volume = 36.0 Å³ per atom
polymorph energy (0 for the lowest one) = 0.2 meV per atom
raw formation energy = -1.54 eV/atom

Lattice parameters (Å, degrees): 3.9080 6.7615 8.2801 98.87 90.07 90.00
Space group P-1 (No. 2)
Symmetry-distinct sites (fractional):
1 Er 0.2500 0.2157 0.0031 [2 per cell]
2 I 0.2494 0.8561 0.7235 [2 per cell]
3 Cl 0.2504 0.6117 0.1645 [2 per cell]

=====

No. 16
Computed, not measured: a relaxed Tb3PbN2 crystal at the PBE level of DFT.

Computed properties:
volume = 22.1 Å³ per atom
raw formation energy = -1.05 eV/atom

Lattice parameters (Å, degrees): 11.3460 7.5667 6.1879 90.00 90.00 90.00
Space group Cmcm (No. 63)
Symmetry-distinct sites (fractional):
1 Tb 0.0000 0.1062 0.2500 [4 per cell]
2 Tb 0.2425 0.1363 0.7500 [8 per cell]
3 Pb 0.0000 0.4216 0.7500 [4 per cell]
4 N 0.1415 0.0000 0.0000 [8 per cell]

=====

No. 17
Computed, not measured: a relaxed Ca2ZnIn6Rh crystal at the PBE level of DFT.

Computed properties:
energy relative to the elements = -85 kJ/mol of formula units
volume = 28.0 Å³ per atom

Lattice parameters (Å, degrees): 10.3833 10.3833 10.3833 90.00 90.00 90.00
Space group Fm-3m (No. 225)
Symmetry-distinct sites (fractional):
1 Ca 0.2500 0.2500 0.2500 [8 per cell]
2 Zn 0.0000 0.0000 0.0000 [4 per cell]
3 In 0.0000 0.0000 0.2493 [24 per cell]
4 Rh 0.0000 0.0000 0.5000 [4 per cell]

=====

No. 18
Computed, not measured: a relaxed Ac12AgPb6 crystal at the PBE level of DFT.

Computed properties:
energy relative to the elements = -412 kJ/mol of formula units
volume = 44.1 Å³ per atom

Lattice parameters (Å, degrees): 14.6676 14.6676 13.4815 90.00 90.00 120.00
Space group R-3 (No. 148, hexagonal axes)
Symmetry-distinct sites (fractional):
1 Ac 0.0304 0.1981 0.3896 [18 per cell]
2 Ac 0.0606 0.2033 0.8790 [18 per cell]
3 Ag 0.0000 0.0000 0.0000 [3 per cell]
4 Pb 0.0447 0.2805 0.6403 [18 per cell]

=====

No. 19
Computed, not measured: a relaxed FeAsPb2 crystal at the PBE level of DFT.

Computed properties:
energy relative to the elements = 59 kJ/mol of formula units
volume = 23.3 Å³ per atom

Lattice parameters (Å, degrees): 3.3360 3.3360 28.9869 90.00 90.00 120.00
Space group R3m (No. 160, hexagonal axes)
Symmetry-distinct sites (fractional):
1 Fe 0.0000 0.0000 0.0000 [3 per cell]
2 As 0.0000 0.0000 0.7139 [3 per cell]
3 Pb 0.0000 0.0000 0.2576 [3 per cell]
4 Pb 0.0000 0.0000 0.4810 [3 per cell]

=====

No. 20
Computed, not measured: a relaxed BeZnBr2 crystal at the PBE level of DFT.

Computed properties:
volume = 23.3 Å³ per atom
polymorph energy (0 for the lowest one) = 605.5 meV per atom
raw formation energy = 0.25 eV/atom

Lattice parameters (Å, degrees): 3.7902 3.9004 6.3125 90.00 90.00 90.00
Space group Pmmm (No. 47)
Symmetry-distinct sites (fractional):
1 Be 0.0000 0.0000 0.0000 [1 per cell]
2 Zn 0.5000 0.5000 0.5000 [1 per cell]
3 Br 0.0000 0.0000 0.5000 [1 per cell]
4 Br 0.5000 0.5000 0.0000 [1 per cell]

=====

No. 21
Computed, not measured: a relaxed La2MoI2 crystal at the PBE level of DFT.

Computed properties:
volume = 28.5 Å³ per atom
polymorph energy (0 for the lowest one) = 0.0 meV per atom
raw formation energy = -0.06 eV/atom

Lattice parameters (Å, degrees): 7.4107 7.4107 5.1847 90.00 90.00 90.00
Space group P4/mbm (No. 127)
Symmetry-distinct sites (fractional):
1 La 0.1698 0.3302 0.0000 [4 per cell]
2 Mo 0.0000 0.0000 0.5000 [2 per cell]
3 I 0.1617 0.6617 0.5000 [4 per cell]

=====

No. 22
Computed, not measured: a relaxed Ac3SiPb crystal at the PBE level of DFT.

Computed properties:
volume = 37.5 Å³ per atom
polymorph energy (0 for the lowest one) = 0.0 meV per atom
raw formation energy = -0.47 eV/atom

Lattice parameters (Å, degrees): 4.8790 7.5600 10.1792 90.00 90.00 90.00
Space group Pmmn (No. 59, origin choice 2)
Symmetry-distinct sites (fractional):
1 Ac 0.2500 0.0136 0.1586 [4 per cell]
2 Ac 0.2500 0.2500 0.5781 [2 per cell]
3 Si 0.2500 0.2500 0.8936 [2 per cell]
4 Pb 0.2500 0.7500 0.6488 [2 per cell]

=====

No. 23
Computed, not measured: a relaxed KSe3 crystal at the PBE level of DFT.

Computed properties:
volume = 30.0 Å³ per atom
polymorph energy (0 for the lowest one) = 55.9 meV per atom
raw formation energy = -0.42 eV/atom

Lattice parameters (Å, degrees): 11.3554 7.9198 6.4392 90.00 123.96 90.00
Space group C2/m (No. 12)
Symmetry-distinct sites (fractional):
1 K 0.1844 0.0000 0.3394 [4 per cell]
2 Se 0.0444 0.5000 0.8248 [4 per cell]
3 Se 0.1179 0.2231 0.7581 [8 per cell]

=====

No. 24
Computed, not measured: a relaxed Na3RePt crystal at the PBE level of DFT.

Computed properties:
energy relative to the elements = 654 kJ/mol of formula units
volume = 31.0 Å³ per atom
polymorph energy (0 for the lowest one) = 0.0 meV per atom

Lattice parameters (Å, degrees): 5.3730 5.3730 5.3730 90.00 90.00 90.00
Space group Pm-3m (No. 221)
Symmetry-distinct sites (fractional):
1 Na 0.0000 0.0000 0.5000 [3 per cell]
2 Re 0.5000 0.5000 0.5000 [1 per cell]
3 Pt 0.0000 0.0000 0.0000 [1 per cell]

=====

No. 25
Computed, not measured: a relaxed MnGaBRuSe crystal at the PBE level of DFT.

Computed properties:
volume = 14.3 Å³ per atom
polymorph energy (0 for the lowest one) = 321.7 meV per atom
raw formation energy = 0.10 eV/atom

Lattice parameters (Å, degrees): 2.7611 3.1458 16.4548 90.00 90.00 90.00
Space group Amm2 (No. 38)
Symmetry-distinct sites (fractional):
1 Mn 0.0000 0.0000 0.0000 [2 per cell]
2 Ga 0.5000 0.0000 0.1313 [2 per cell]
3 B 0.5000 0.0000 0.5236 [2 per cell]
4 Ru 0.5000 0.0000 0.3952 [2 per cell]
5 Se 0.5000 0.0000 0.7784 [2 per cell]